1.
DFT (PBE) results for crystalline CeNp4U3As8 at its relaxed geometry.

Output
calculated formation energy	-12.25	eV/f.u.
total magnetization	5.92	μB per formula unit
SG	P-1

Unit cell a=8.1963 b=8.2201 c=8.2522 alpha=120.39 beta=119.95 gamma=89.99
Closest atoms and distances in Å follow each position.
Fractional positions:
As1 0.7498 0.7483 0.4995  3 U 2.89-2.90, 3 Np 2.91
As2 0.7475 0.2495 0.4954  3 Np 2.88-2.91, 2 U 2.89, 1 Ce 2.93
As3 0.2536 0.2491 0.0017  3 Np 2.88-2.91, 2 U 2.89-2.90, 1 Ce 2.93
As4 0.2502 0.2517 0.5005  3 U 2.89-2.90, 3 Np 2.91
As5 0.2533 0.7502 0.9990  3 Np 2.88-2.92, 2 U 2.88-2.90, 1 Ce 2.93
As6 0.7467 0.2498 0.0010  3 Np 2.88-2.92, 2 U 2.88-2.90, 1 Ce 2.93
As7 0.7464 0.7509 0.9983  3 Np 2.88-2.91, 2 U 2.89-2.90, 1 Ce 2.93
As8 0.2525 0.7505 0.5046  3 Np 2.88-2.91, 2 U 2.89, 1 Ce 2.93
U1 0.5000 0.5000 0.0000  6 As 2.88-2.90
U2 0.0000 0.5000 0.5000  6 As 2.89-2.90
U3 0.5000 0.5000 0.5000  6 As 2.89
Np1 0.0000 0.0000 0.0000  6 As 2.91-2.92
Np2 0.5000 0.0000 0.0000  6 As 2.88
Np3 0.0000 0.0000 0.5000  6 As 2.91
Np4 0.5000 0.0000 0.5000  6 As 2.91
Ce1 0.0000 0.5000 0.0000  6 As 2.93

---

2.
DFT (PBE) results for crystalline CeNpU2As4 at its relaxed geometry.

Output
calculated formation energy	-6.92	eV/f.u.
total magnetization	4.61	μB per formula unit
SG	P2/m

Unit cell a=4.0953 b=7.1326 c=7.1682 alpha=109.21 beta=90.00 gamma=90.00
Closest atoms and distances in Å follow each position.
Fractional positions:
As1 0.0000 0.7545 0.2571  3 U 2.88-2.90, 1 Np 2.93, 2 Ce 2.95
As2 0.0000 0.2455 0.7429  3 U 2.88-2.90, 1 Np 2.93, 2 Ce 2.95
As3 0.5000 0.2475 0.2544  3 U 2.87-2.91, 2 Np 2.92, 1 Ce 2.95
As4 0.5000 0.7525 0.7456  3 U 2.87-2.91, 2 Np 2.92, 1 Ce 2.95
Np1 0.0000 0.0000 0.0000  6 As 2.92-2.93
U1 0.5000 0.0000 0.5000  6 As 2.87-2.88
U2 0.0000 0.5000 0.5000  6 As 2.90-2.91
Ce1 0.5000 0.5000 0.0000  6 As 2.95

---

3.
DFT (PBE) results for crystalline Ce2Np3UAs6 at its relaxed geometry.

Output
calculated formation energy	-11.24	eV/f.u.
total magnetization	15.79	μB per formula unit
SG	C2/m

Unit cell a=4.1458 b=8.2867 c=9.2332 alpha=102.13 beta=102.97 gamma=90.00
Closest atoms and distances in Å follow each position.
Fractional positions:
As1 0.9982 0.2477 0.9963  3 Np 2.90-2.94, 2 U 2.92, 1 Ce 2.96
As2 0.0018 0.7523 0.0037  3 Np 2.90-2.94, 2 U 2.92, 1 Ce 2.96
As3 0.3340 0.9210 0.6680  3 Np 2.90-2.93, 1 U 2.92, 2 Ce 2.96
As4 0.3349 0.4111 0.6698  3 Np 2.90, 3 Ce 2.96
As5 0.6651 0.5889 0.3302  3 Np 2.90, 3 Ce 2.96
As6 0.6660 0.0790 0.3320  3 Np 2.90-2.93, 1 U 2.92, 2 Ce 2.96
Np1 0.8328 0.1649 0.6657  6 As 2.90-2.93
Np2 0.5000 0.5000 0.0000  6 As 2.90-2.94
Np3 0.1672 0.8351 0.3343  6 As 2.90-2.93
Ce1 0.8334 0.6654 0.6668  6 As 2.96
Ce2 0.1666 0.3346 0.3332  6 As 2.96
U1 0.5000 0.0000 0.0000  6 As 2.92

---

4.
DFT (PBE) results for crystalline CeNp2U3As6 at its relaxed geometry.

Output
calculated formation energy	-9.69	eV/f.u.
total magnetization	1.85	μB per formula unit
SG	C2/m

Unit cell a=7.0314 b=7.0314 c=7.2801 alpha=99.27 beta=99.27 gamma=120.01
Closest atoms and distances in Å follow each position.
Fractional positions:
U1 0.5000 0.5000 0.5000  6 As 2.88-2.90
U2 0.1650 0.8350 0.5000  6 As 2.88-2.90
U3 0.8350 0.1650 0.5000  6 As 2.88-2.90
As1 0.2531 0.2531 0.7473  3 U 2.88-2.90, 2 Np 2.91, 1 Ce 2.94
As2 0.0851 0.4220 0.2547  3 U 2.88-2.90, 2 Np 2.91-2.92, 1 Ce 2.95
As3 0.7469 0.7469 0.2527  3 U 2.88-2.90, 2 Np 2.91, 1 Ce 2.94
As4 0.5780 0.9149 0.7453  3 U 2.88-2.90, 2 Np 2.91-2.92, 1 Ce 2.95
As5 0.9149 0.5780 0.7453  3 U 2.88-2.90, 2 Np 2.91-2.92, 1 Ce 2.95
As6 0.4220 0.0851 0.2547  3 U 2.88-2.90, 2 Np 2.91-2.92, 1 Ce 2.95
Ce1 0.0000 0.0000 0.0000  6 As 2.94-2.95
Np1 0.3329 0.6671 0.0000  6 As 2.91-2.92
Np2 0.6671 0.3329 0.0000  6 As 2.91-2.92